Entry 1:
Entry from the Alexandria database: a relaxed DyYAu2 crystal (PBE).

The calculation puts the density at 10.23 g cm⁻³. Its energy relative to the lowest polymorph listed for this composition is 157 meV/atom. Its crystal system is trigonal. The total energy is -5.13 eV/atom. Its volume is 26.2 Å³ per atom.

Cell: 4.009 4.009 7.872 Å, 75.25 75.25 60.00°
Positions (direct):
Dy 0.668 0.668 0.996
Y 0.499 0.499 0.503
Au 0.083 0.083 0.750
Au 0.250 0.250 0.251

***

Entry 2:
Entry from the Alexandria database: a relaxed Dy2YAu crystal (PBE).

The calculation puts the density at 8.92 g cm⁻³. Its energy relative to the lowest polymorph listed for this composition is 0 meV/atom. Its crystal system is orthorhombic. The total energy is -5.19 eV/atom. Its volume is 28.4 Å³ per atom.

Cell: 6.668 6.983 9.770 Å, 90.00 90.00 90.00°
Positions (direct):
Dy 0.807 0.304 0.555
Dy 0.807 0.304 0.945
Dy 0.307 0.196 0.055
Y 0.118 0.987 0.750
Y 0.618 0.513 0.250
Au 0.044 0.412 0.250
Au 0.956 0.588 0.750
Y 0.382 0.487 0.750
Dy 0.193 0.696 0.445
Dy 0.693 0.804 0.555
Au 0.456 0.912 0.250
Dy 0.193 0.696 0.055
Y 0.882 0.013 0.250
Dy 0.693 0.804 0.945
Dy 0.307 0.196 0.445
Au 0.544 0.088 0.750

***

Entry 3:
Entry from the Alexandria database: a relaxed DyYAu crystal (PBE).

The calculation puts the density at 9.31 g cm⁻³. Its energy relative to the lowest polymorph listed for this composition is 75 meV/atom. Its crystal system is tetragonal. The total energy is -5.32 eV/atom. Its volume is 26.7 Å³ per atom.

Cell: 3.603 3.603 6.668 Å, 105.68 105.68 90.00°
Positions (direct):
Au 0.665 0.665 0.330
Dy 0.023 0.023 0.046
Y 0.312 0.312 0.624

***

Entry 4:
Entry from the Alexandria database: a relaxed DyY3Au crystal (PBE).

The calculation puts the density at 6.61 g cm⁻³. Its crystal system is monoclinic. The total energy is -5.69 eV/atom. Its volume is 31.5 Å³ per atom.

Cell: 7.174 7.174 7.774 Å, 102.00 116.63 106.79°
Positions (direct):
Y 0.827 0.994 0.221
Au 0.657 0.773 0.431
Y 0.774 0.606 0.779
Y 0.226 0.394 0.221
Y 0.733 0.457 0.190
Au 0.343 0.227 0.569
Dy 0.697 0.080 0.778
Y 0.173 0.006 0.779
Dy 0.303 0.920 0.222
Y 0.267 0.543 0.810

***

Entry 5:
Entry from the Alexandria database: a relaxed DyYAu crystal (PBE).

The calculation puts the density at 8.54 g cm⁻³. Its energy relative to the lowest polymorph listed for this composition is 167 meV/atom. Its crystal system is trigonal. The total energy is -5.23 eV/atom. Its volume is 29.1 Å³ per atom.

Cell: 4.985 4.985 8.601 Å, 73.15 73.15 60.00°
Positions (direct):
Y 0.376 0.376 0.873
Au 0.249 0.249 0.252
Dy 0.125 0.125 0.624
Y 0.624 0.624 0.127
Dy 0.875 0.875 0.376
Au 0.751 0.751 0.748

***

Entry 6:
Entry from the Alexandria database: a relaxed DyY2Au6 crystal (PBE).

The calculation puts the density at 13.02 g cm⁻³. Its crystal system is monoclinic. The total energy is -4.93 eV/atom. Its volume is 21.6 Å³ per atom.

Cell: 5.292 5.263 8.502 Å, 71.97 80.98 59.56°
Positions (direct):
Au 0.327 0.330 0.500
Y 0.500 0.835 0.831
Y 0.500 0.165 0.169
Au 0.167 0.504 0.831
Dy 0.000 0.000 0.500
Au 0.167 0.835 0.169
Au 0.833 0.165 0.831
Au 0.673 0.670 0.500
Au 0.833 0.496 0.169